[1]
# Cu2SbPt

A relaxed structure of Cu2SbPt (GGA-PBE, Alexandria).

## Properties
Raw total energy ... -0.3218 Ry per atom
Total magnetization ... 0.00 μB per formula unit
Volume ... 67 Å³ per cell
Formation energy from raw total energies ... 210 meV/atom
Crystal system ... trigonal

a b c (Å): 8.252 8.252 8.252
angles (deg): 21.57 21.57 21.57
Fractional coordinates of all 4 atoms:
Cu1 0.997 0.997 0.997
Cu2 0.503 0.503 0.503
Pt1 0.250 0.250 0.250
Sb1 0.750 0.750 0.750

---

[2]
# Sm3Np2Se6

A relaxed structure of Sm3Np2Se6 (GGA-PBE, Alexandria).

## Properties
Raw total energy ... -0.5172 Ry per atom
Total magnetization ... 7.79 μB per formula unit
Volume ... 304 Å³ per cell
Formation energy from raw total energies ... -1497 meV/atom
Crystal system ... trigonal

a b c (Å): 4.163 4.163 20.429
angles (deg): 84.15 84.15 60.00
Fractional coordinates of all 11 atoms:
Se1 0.084 0.084 0.747
Se2 0.916 0.916 0.253
Se3 0.361 0.361 0.916
Se4 0.197 0.197 0.409
Se5 0.803 0.803 0.591
Se6 0.639 0.639 0.084
Sm1 0.723 0.723 0.831
Sm2 0.000 0.000 0.000
Sm3 0.277 0.277 0.169
Np1 0.446 0.446 0.663
Np2 0.554 0.554 0.337

---

- What is the formula in the first record?
  Cu2SbPt